1.
PtSe2 (PBE, optimized geometry); total magnetization = 0.005 Bohr magnetons per cell; raw total energy = -52.29 eV/cell; calculated volume = 245.1 Å³/cell
1.0
-2.7449 -2.4337 -0.0055
2.4069 0.0564 -2.7679
12.1558 -13.7334 10.2909
Se Pt
8 4
direct
0.6667 0.3333 0.3248
0.6667 0.3333 0.6752
0.6667 0.3333 0.1829
0.3333 0.6667 0.0701
0.0000 0.0000 0.5713
0.6667 0.3333 0.8171
0.3333 0.6667 0.9299
0.0000 0.0000 0.4287
0.3333 0.6667 0.5000
0.3333 0.6667 0.7460
0.0000 0.0000 0.0000
0.3333 0.6667 0.2540



2.
PtSe2 (PBE, optimized geometry); total magnetization = 0.010 Bohr magnetons per cell; raw total energy = -23.54 eV/cell; calculated volume = 119.0 Å³/cell
1.0
2.1522 -3.7414 0.0000
2.1522 3.7414 0.0000
0.0000 0.0000 7.3904
Se Pt
4 2
direct
0.0000 0.0000 0.5000
0.6664 0.3336 0.2500
0.0000 0.0000 0.0000
0.3336 0.6664 0.7500
0.6662 0.3338 0.7500
0.3338 0.6662 0.2500



3.
PtSe2 (PBE, optimized geometry); total magnetization = 0.001 Bohr magnetons per cell; raw total energy = -54.38 eV/cell; calculated volume = 251.2 Å³/cell
1.0
3.7393 0.0000 0.0000
-1.8696 3.2383 0.0000
0.0000 0.0000 20.7409
Se Pt
8 4
direct
0.3333 0.6667 0.8183
0.6667 0.3333 0.5643
0.3333 0.6667 0.4357
0.3333 0.6667 0.0643
0.3333 0.6667 0.6817
0.6667 0.3333 0.1817
0.6667 0.3333 0.3183
0.6667 0.3333 0.9357
0.0000 0.0000 0.2500
0.0000 0.0000 0.0000
0.0000 0.0000 0.7500
0.0000 0.0000 0.5000



4.
PtSe2 (PBE, optimized geometry); total magnetization = 0.058 Bohr magnetons per cell; raw total energy = -54.54 eV/cell; calculated volume = 254.1 Å³/cell
1.0
5.2909 0.0000 0.0000
0.0000 7.2415 0.0000
0.0000 0.0000 6.6318
Se Pt
8 4
direct
0.7327 0.4051 0.0644
0.2327 0.9051 0.4356
0.2327 0.0949 0.9356
0.7673 0.9051 0.0644
0.2673 0.4051 0.4356
0.2673 0.5949 0.9356
0.7673 0.0949 0.5644
0.7327 0.5949 0.5644
0.5000 0.8531 0.7500
0.0000 0.3531 0.7500
0.5000 0.1469 0.2500
0.0000 0.6469 0.2500



Among the records above, which one has the lowest total magnetization?
number 3



What is the calculated volume in the fourth record?
254.1 Å³/cell



The highest calculated volume belongs to which entry?
number 4



Repeat the fourth record exactly.
PtSe2 (PBE, optimized geometry); total magnetization = 0.058 Bohr magnetons per cell; raw total energy = -54.54 eV/cell; calculated volume = 254.1 Å³/cell
1.0
5.2909 0.0000 0.0000
0.0000 7.2415 0.0000
0.0000 0.0000 6.6318
Se Pt
8 4
direct
0.7327 0.4051 0.0644
0.2327 0.9051 0.4356
0.2327 0.0949 0.9356
0.7673 0.9051 0.0644
0.2673 0.4051 0.4356
0.2673 0.5949 0.9356
0.7673 0.0949 0.5644
0.7327 0.5949 0.5644
0.5000 0.8531 0.7500
0.0000 0.3531 0.7500
0.5000 0.1469 0.2500
0.0000 0.6469 0.2500